1.
# DyCo3B2 | Alexandria via LeMat-Bulk | GGA-PBE | optimized geometry
# * energy above the most stable polymorph in this dataset: 0.197 eV/atom
# * total energy: -6.843 eV/atom
data_DyCo3B2
_space_group_name_H-M_alt 'P 6/m m m'
_space_group_IT_number 191
_space_group_name_Hall '-P 6 2'
_cell_length_a 8.3769
_cell_length_b 8.3769
_cell_length_c 3.3039
_cell_angle_alpha 90.00
_cell_angle_beta 90.00
_cell_angle_gamma 120.00
loop_
_atom_site_label
_atom_site_fract_x
_atom_site_fract_y
_atom_site_fract_z
Dy1 0.0000 0.0000 0.0000
Dy2 0.3333 0.6667 0.5000
Co1 0.0000 0.2859 0.5000
Co2 0.0000 0.5000 0.0000
B1 0.1876 0.3753 0.0000



2.
# DyCo4B | Alexandria via LeMat-Bulk | GGA-PBE | optimized geometry
# * total energy: -6.922 eV/atom
data_DyCo4B
_space_group_name_H-M_alt 'P 6/m m m'
_space_group_IT_number 191
_space_group_name_Hall '-P 6 2'
_cell_length_a 4.9958
_cell_length_b 4.9958
_cell_length_c 6.8377
_cell_angle_alpha 90.00
_cell_angle_beta 90.00
_cell_angle_gamma 120.00
loop_
_atom_site_label
_atom_site_fract_x
_atom_site_fract_y
_atom_site_fract_z
Dy1 0.0000 0.0000 0.0000
Dy2 0.0000 0.0000 0.5000
Co1 0.0000 0.5000 0.2122
Co2 0.3333 0.6667 0.5000
B1 0.3333 0.6667 0.0000



3.
# Dy3CoB7 | Alexandria via LeMat-Bulk | GGA-PBE | optimized geometry
# * total energy: -6.717 eV/atom
data_Dy3CoB7
_space_group_name_H-M_alt 'C m c m'
_space_group_IT_number 63
_space_group_name_Hall '-C 2c 2'
_cell_length_a 3.4048
_cell_length_b 15.7309
_cell_length_c 9.3307
_cell_angle_alpha 90.00
_cell_angle_beta 90.00
_cell_angle_gamma 90.00
loop_
_atom_site_label
_atom_site_fract_x
_atom_site_fract_y
_atom_site_fract_z
Dy1 0.0000 0.1052 0.0612
Dy2 0.0000 0.2438 0.7500
Co1 0.0000 0.0544 0.7500
B1 0.0000 0.2723 0.0326
B2 0.0000 0.3696 0.1529
B3 0.0000 0.4611 0.7500
B4 0.0000 0.4780 0.0978



4.
# Dy2Co3B2 | Alexandria via LeMat-Bulk | GGA-PBE | optimized geometry
# * total energy: -6.554 eV/atom
data_Dy2Co3B2
_space_group_name_H-M_alt 'C 1 2/m 1'
_space_group_IT_number 12
_space_group_name_Hall '-C 2y'
_cell_length_a 9.6697
_cell_length_b 3.3609
_cell_length_c 6.3427
_cell_angle_alpha 90.00
_cell_angle_beta 114.92
_cell_angle_gamma 90.00
loop_
_atom_site_label
_atom_site_fract_x
_atom_site_fract_y
_atom_site_fract_z
Dy1 0.1295 0.0000 0.2713
Co1 0.0000 0.5000 0.5000
Co2 0.1463 0.5000 0.9297
B1 0.1464 0.0000 0.7493



5.
# Dy2CoB10 | Alexandria via LeMat-Bulk | GGA-PBE | optimized geometry
# * total energy: -6.918 eV/atom
data_Dy2CoB10
_space_group_name_H-M_alt 'P b a m'
_space_group_IT_number 55
_space_group_name_Hall '-P 2 2ab'
_cell_length_a 5.5432
_cell_length_b 11.0762
_cell_length_c 4.1416
_cell_angle_alpha 90.00
_cell_angle_beta 90.00
_cell_angle_gamma 90.00
loop_
_atom_site_label
_atom_site_fract_x
_atom_site_fract_y
_atom_site_fract_z
Dy1 0.1988 0.1337 0.0000
Co1 0.0000 0.5000 0.5000
B1 0.0294 0.3140 0.5000
B2 0.1278 0.9600 0.5000
B3 0.1583 0.8020 0.5000
B4 0.2005 0.3866 0.1998



6.
# Dy3Co2B9 | Alexandria via LeMat-Bulk | GGA-PBE | optimized geometry
# * total energy: -6.564 eV/atom
data_Dy3Co2B9
_space_group_name_H-M_alt 'I m m m'
_space_group_IT_number 71
_space_group_name_Hall '-I 2 2'
_cell_length_a 3.1372
_cell_length_b 7.4937
_cell_length_c 13.3718
_cell_angle_alpha 90.00
_cell_angle_beta 90.00
_cell_angle_gamma 90.00
loop_
_atom_site_label
_atom_site_fract_x
_atom_site_fract_y
_atom_site_fract_z
Dy1 0.0000 0.0000 0.0000
Dy2 0.0000 0.0000 0.2641
Co1 0.0000 0.1638 0.5000
B1 0.0000 0.2692 0.1216
B2 0.0000 0.3063 0.3710
B3 0.0000 0.5000 0.0000



7.
# DyCo2B2 | Alexandria via LeMat-Bulk | GGA-PBE | optimized geometry
# * total energy: -7.001 eV/atom
data_DyCo2B2
_space_group_name_H-M_alt 'I 4/m m m'
_space_group_IT_number 139
_space_group_name_Hall '-I 4 2'
_cell_length_a 3.5449
_cell_length_b 3.5449
_cell_length_c 9.3842
_cell_angle_alpha 90.00
_cell_angle_beta 90.00
_cell_angle_gamma 90.00
loop_
_atom_site_label
_atom_site_fract_x
_atom_site_fract_y
_atom_site_fract_z
Dy1 0.0000 0.0000 0.0000
Co1 0.0000 0.5000 0.2500
B1 0.0000 0.0000 0.3496



8.
# Dy2Co3B | Alexandria via LeMat-Bulk | GGA-PBE | optimized geometry
# * total energy: -6.027 eV/atom
data_Dy2Co3B
_space_group_name_H-M_alt 'I m m m'
_space_group_IT_number 71
_space_group_name_Hall '-I 2 2'
_cell_length_a 3.1431
_cell_length_b 4.3905
_cell_length_c 13.9173
_cell_angle_alpha 90.00
_cell_angle_beta 90.00
_cell_angle_gamma 90.00
loop_
_atom_site_label
_atom_site_fract_x
_atom_site_fract_y
_atom_site_fract_z
Dy1 0.0000 0.0000 0.1786
Co1 0.0000 0.5000 0.0862
Co2 0.0000 0.5000 0.5000
B1 0.0000 0.0000 0.5000



9.
# Dy2Co7B3 | Alexandria via LeMat-Bulk | GGA-PBE | optimized geometry
# * total energy: -6.985 eV/atom
data_Dy2Co7B3
_space_group_name_H-M_alt 'P 6/m m m'
_space_group_IT_number 191
_space_group_name_Hall '-P 6 2'
_cell_length_a 5.0161
_cell_length_b 5.0161
_cell_length_c 12.7680
_cell_angle_alpha 90.00
_cell_angle_beta 90.00
_cell_angle_gamma 120.00
loop_
_atom_site_label
_atom_site_fract_x
_atom_site_fract_y
_atom_site_fract_z
Dy1 0.0000 0.0000 0.0000
Dy2 0.0000 0.0000 0.2390
Dy3 0.0000 0.0000 0.5000
Co1 0.0000 0.5000 0.1158
Co2 0.0000 0.5000 0.3455
Co3 0.3333 0.6667 0.5000
B1 0.3333 0.6667 0.0000
B2 0.3333 0.6667 0.2315



10.
# DyCoB4 | Alexandria via LeMat-Bulk | GGA-PBE | optimized geometry
# * total energy: -6.995 eV/atom
data_DyCoB4
_space_group_name_H-M_alt 'P b a m'
_space_group_IT_number 55
_space_group_name_Hall '-P 2 2ab'
_cell_length_a 5.8943
_cell_length_b 11.4123
_cell_length_c 3.3838
_cell_angle_alpha 90.00
_cell_angle_beta 90.00
_cell_angle_gamma 90.00
loop_
_atom_site_label
_atom_site_fract_x
_atom_site_fract_y
_atom_site_fract_z
Dy1 0.1280 0.1500 0.0000
Co1 0.1346 0.4106 0.0000
B1 0.0224 0.6908 0.5000
B2 0.1111 0.5460 0.5000
B3 0.1390 0.9675 0.5000
B4 0.2176 0.8155 0.5000



11.
# Dy2Co2B3 | Alexandria via LeMat-Bulk | GGA-PBE | optimized geometry
# * total energy: -6.483 eV/atom
data_Dy2Co2B3
_space_group_name_H-M_alt 'C 1 2/m 1'
_space_group_IT_number 12
_space_group_name_Hall '-C 2y'
_cell_length_a 9.5003
_cell_length_b 3.8022
_cell_length_c 5.7783
_cell_angle_alpha 90.00
_cell_angle_beta 113.09
_cell_angle_gamma 90.00
loop_
_atom_site_label
_atom_site_fract_x
_atom_site_fract_y
_atom_site_fract_z
Dy1 0.1136 0.0000 0.2961
Co1 0.2053 0.0000 0.8595
B1 0.0000 0.5000 0.5000
B2 0.1228 0.5000 0.7973



12.
# DyCo12B6 | Alexandria via LeMat-Bulk | GGA-PBE | optimized geometry
# * total energy: -7.187 eV/atom
data_DyCo12B6
_space_group_name_H-M_alt 'R -3 m'
_space_group_IT_number 166
_space_group_name_Hall '-R 3 2"'
_cell_length_a 9.3785
_cell_length_b 9.3785
_cell_length_c 7.4046
_cell_angle_alpha 90.00
_cell_angle_beta 90.00
_cell_angle_gamma 120.00
loop_
_atom_site_label
_atom_site_fract_x
_atom_site_fract_y
_atom_site_fract_z
Dy1 0.0000 0.0000 0.0000
Co1 0.0000 0.3678 0.5000
Co2 0.0899 0.1799 0.3661
B1 0.0364 0.5182 0.2855



no.,calculated volume (Å³/cell),M_tot (μB per cell),formation energy from the elements (kJ per mole of atoms)
1,200.8,6.90,-28.6
2,147.8,7.04,-29.4
3,499.8,0.00,-54.7
4,186.9,0.00,-27.6
5,254.3,0.00,-50.8
6,314.4,0.00,-26.1
7,117.9,0.00,-54.7
8,192.1,4.23,16.7
9,278.2,7.61,-38.9
10,227.6,0.00,-57.1
11,192.0,0.00,-26.6
12,564.0,20.45,-33.6